Entry 1:
Computed, not measured: an optimized crystal structure of SmNpNi17 at the GGA-PBE level of DFT.

Lattice parameters (Å, degrees): 6.253 6.253 6.253 83.04 83.04 83.04
Positions (direct):
Ni  0.000  0.500  0.000
Ni  0.500  0.000  0.000
Ni  0.156  0.651  0.651
Ni  0.002  0.704  0.294
Ni  0.848  0.345  0.345
Ni  0.651  0.156  0.651
Ni  0.704  0.002  0.294
Ni  0.294  0.704  0.002
Ni  0.002  0.294  0.704
Ni  0.345  0.345  0.848
Ni  0.903  0.903  0.903
Ni  0.101  0.101  0.101
Sm  0.661  0.661  0.661
Ni  0.651  0.651  0.156
Ni  0.704  0.294  0.002
Ni  0.000  0.000  0.500
Ni  0.345  0.848  0.345
Ni  0.294  0.002  0.704
Np  0.337  0.337  0.337

Properties
Energy of formation from the pure elements   -120 meV per atom
Crystal system   trigonal
SG   R3m (160)



Entry 2:
Computed, not measured: an optimized crystal structure of SmNpNi10 at the GGA-PBE level of DFT.

Lattice parameters (Å, degrees): 3.966 4.889 8.466 90.00 90.00 90.00
Positions (direct):
Ni  0.500  0.747  0.254
Np  0.000  0.500  0.500
Ni  0.500  0.000  0.500
Ni  0.500  0.253  0.746
Ni  0.000  0.500  0.825
Ni  0.000  0.500  0.175
Ni  0.500  0.253  0.254
Sm  0.000  0.000  0.000
Ni  0.500  0.500  0.000
Ni  0.000  0.000  0.338
Ni  0.500  0.747  0.746
Ni  0.000  0.000  0.662

Properties
Energy of formation from the pure elements   -215 meV per atom
Crystal system   orthorhombic
SG   Pmmm (47)



Entry 3:
Computed, not measured: an optimized crystal structure of NpNi9Sn2 at the GGA-PBE level of DFT.

Lattice parameters (Å, degrees): 4.871 8.204 8.204 90.00 90.00 90.00
Positions (direct):
Ni  0.500  0.703  0.565
Sn  0.000  0.127  0.373
Np  0.000  0.000  0.000
Ni  0.246  0.674  0.826
Ni  0.754  0.174  0.674
Ni  0.754  0.674  0.826
Ni  0.754  0.326  0.174
Np  0.000  0.500  0.500
Ni  0.500  0.500  0.000
Ni  0.500  0.297  0.435
Ni  0.754  0.826  0.326
Ni  0.500  0.935  0.797
Ni  0.246  0.826  0.326
Ni  0.500  0.000  0.500
Ni  0.500  0.797  0.065
Ni  0.246  0.174  0.674
Sn  0.000  0.373  0.873
Ni  0.500  0.203  0.935
Ni  0.246  0.326  0.174
Ni  0.500  0.565  0.297
Ni  0.500  0.065  0.203
Sn  0.000  0.873  0.627
Ni  0.500  0.435  0.703
Sn  0.000  0.627  0.127

Properties
Energy of formation from the pure elements   -130 meV per atom
Crystal system   tetragonal
SG   P4/mbm (127)



Entry 4:
Computed, not measured: an optimized crystal structure of NpNiSn at the GGA-PBE level of DFT.

Lattice parameters (Å, degrees): 3.473 8.209 7.846 90.00 90.00 90.00
Positions (direct):
Np  0.250  0.396  0.495
Np  0.250  0.104  0.995
Sn  0.750  0.409  0.148
Ni  0.750  0.142  0.318
Ni  0.750  0.358  0.818
Sn  0.250  0.909  0.352
Np  0.750  0.604  0.505
Ni  0.250  0.858  0.682
Sn  0.250  0.591  0.852
Ni  0.250  0.642  0.182
Sn  0.750  0.091  0.648
Np  0.750  0.896  0.005

Properties
Energy of formation from the pure elements   -164 meV per atom
Crystal system   orthorhombic
SG   Pnma (62)



Entry 5:
Computed, not measured: an optimized crystal structure of NpNi17Sn at the GGA-PBE level of DFT.

Lattice parameters (Å, degrees): 6.214 6.214 6.214 82.67 82.67 82.67
Positions (direct):
Ni  0.296  0.000  0.701
Ni  0.511  0.989  0.989
Ni  0.861  0.344  0.344
Ni  0.344  0.344  0.861
Ni  0.701  0.000  0.296
Ni  0.701  0.296  0.000
Sn  0.343  0.343  0.343
Np  0.662  0.662  0.662
Ni  0.643  0.169  0.643
Ni  0.989  0.511  0.989
Ni  0.000  0.701  0.296
Ni  0.169  0.643  0.643
Ni  0.989  0.989  0.511
Ni  0.643  0.643  0.169
Ni  0.104  0.104  0.104
Ni  0.344  0.861  0.344
Ni  0.296  0.701  0.000
Ni  0.905  0.905  0.905
Ni  0.000  0.296  0.701

Properties
Energy of formation from the pure elements   -4 meV per atom
Crystal system   trigonal
SG   R3m (160)



Entry 6:
Computed, not measured: an optimized crystal structure of NpNi5Sn at the GGA-PBE level of DFT.

Lattice parameters (Å, degrees): 4.903 8.016 10.210 90.00 90.00 90.00
Positions (direct):
Ni  0.501  0.430  0.187
Np  0.250  0.257  0.946
Ni  0.001  0.570  0.813
Ni  0.750  0.819  0.749
Ni  0.499  0.070  0.687
Ni  0.250  0.181  0.251
Ni  0.750  0.406  0.980
Sn  0.750  0.636  0.357
Ni  0.250  0.681  0.249
Ni  0.501  0.930  0.313
Sn  0.250  0.364  0.643
Ni  0.499  0.570  0.813
Ni  0.750  0.319  0.751
Ni  0.999  0.930  0.313
Ni  0.750  0.564  0.601
Np  0.750  0.743  0.054
Ni  0.250  0.436  0.399
Ni  0.750  0.064  0.899
Np  0.750  0.243  0.446
Ni  0.250  0.936  0.101
Ni  0.999  0.430  0.187
Ni  0.250  0.094  0.480
Sn  0.750  0.136  0.143
Ni  0.750  0.906  0.520
Ni  0.250  0.594  0.020
Ni  0.001  0.070  0.687
Sn  0.250  0.864  0.857
Np  0.250  0.757  0.554

Properties
Energy of formation from the pure elements   -173 meV per atom
Crystal system   orthorhombic
SG   Pnma (62)



Entry 7:
Computed, not measured: an optimized crystal structure of Np4NiSn8 at the GGA-PBE level of DFT.

Lattice parameters (Å, degrees): 4.632 4.613 15.773 90.00 90.00 90.00
Positions (direct):
Sn  0.000  0.500  0.965
Np  0.000  0.000  0.812
Ni  0.000  0.000  0.333
Np  0.000  0.500  0.234
Sn  0.000  0.000  0.499
Sn  0.000  0.000  0.094
Sn  0.500  0.500  0.375
Sn  0.500  0.500  0.563
Sn  0.000  0.500  0.678
Sn  0.500  0.000  0.240
Np  0.500  0.500  0.811
Np  0.500  0.000  0.745
Sn  0.500  0.000  0.954

Properties
Energy of formation from the pure elements   140 meV per atom
Crystal system   orthorhombic
SG   Pmm2 (25)



Entry 8:
Computed, not measured: an optimized crystal structure of NpNi2Sn at the GGA-PBE level of DFT.

Lattice parameters (Å, degrees): 3.064 3.064 7.112 90.00 90.00 90.00
Positions (direct):
Ni  0.000  0.000  0.777
Np  0.500  0.500  0.500
Ni  0.000  0.000  0.223
Sn  0.500  0.500  0.000

Properties
Energy of formation from the pure elements   35 meV per atom
Crystal system   tetragonal
SG   P4/mmm (123)



Entry 9:
Computed, not measured: an optimized crystal structure of NpNiSn at the GGA-PBE level of DFT.

Lattice parameters (Å, degrees): 3.116 3.116 6.360 104.18 104.18 90.00
Positions (direct):
Sn  0.307  0.307  0.613
Np  0.017  0.017  0.035
Ni  0.676  0.676  0.352

Properties
Energy of formation from the pure elements   12 meV per atom
Crystal system   tetragonal
SG   I4mm (107)



Entry 10:
Computed, not measured: an optimized crystal structure of Np2Ni3Sn5 at the GGA-PBE level of DFT.

Lattice parameters (Å, degrees): 13.396 13.396 6.996 90.00 90.00 161.17
Positions (direct):
Sn  0.286  0.714  0.516
Sn  0.406  0.594  0.378
Sn  0.879  0.121  0.746
Ni  0.219  0.781  0.226
Sn  0.121  0.879  0.246
Ni  0.049  0.951  0.980
Np  0.525  0.475  0.247
Ni  0.951  0.049  0.480
Sn  0.594  0.406  0.878
Sn  0.297  0.703  0.948
Sn  0.952  0.048  0.085
Np  0.171  0.829  0.743
Np  0.475  0.525  0.747
Sn  0.714  0.286  0.016
Ni  0.603  0.397  0.495
Sn  0.048  0.952  0.585
Np  0.829  0.171  0.243
Ni  0.397  0.603  0.995
Ni  0.781  0.219  0.726
Sn  0.703  0.297  0.448

Properties
Energy of formation from the pure elements   70 meV per atom
Crystal system   orthorhombic
SG   Cmc2_1 (36)



Entry 11:
Computed, not measured: an optimized crystal structure of NpNi9Sn2 at the GGA-PBE level of DFT.

Lattice parameters (Å, degrees): 4.911 4.911 8.380 72.96 72.96 60.00
Positions (direct):
Np  0.000  0.000  0.000
Ni  0.500  0.500  0.500
Ni  0.666  0.666  0.001
Ni  0.586  0.586  0.747
Ni  0.081  0.586  0.747
Ni  0.414  0.414  0.253
Ni  0.586  0.081  0.747
Ni  0.919  0.414  0.253
Sn  0.138  0.138  0.587
Sn  0.862  0.862  0.413
Ni  0.414  0.919  0.253
Ni  0.334  0.334  0.999

Properties
Energy of formation from the pure elements   -129 meV per atom
Crystal system   trigonal
SG   R-3m (166)



Entry 12:
Computed, not measured: an optimized crystal structure of NpNiSn at the GGA-PBE level of DFT.

Lattice parameters (Å, degrees): 3.286 4.629 4.629 120.00 90.00 90.00
Positions (direct):
Sn  0.167  0.000  0.000
Ni  0.167  0.667  0.333
Np  0.667  0.333  0.667

Properties
Energy of formation from the pure elements   -27 meV per atom
Crystal system   hexagonal
SG   P-6m2 (187)



Entry 13:
Computed, not measured: an optimized crystal structure of Np3Ni8Sn at the GGA-PBE level of DFT.

Lattice parameters (Å, degrees): 4.987 4.987 8.626 73.20 73.20 60.00
Positions (direct):
Ni  0.437  0.437  0.191
Ni  0.687  0.687  0.938
Np  0.496  0.496  0.511
Ni  0.187  0.187  0.438
Ni  0.440  0.937  0.685
Ni  0.937  0.937  0.685
Sn  0.877  0.877  0.369
Ni  0.437  0.935  0.191
Ni  0.935  0.437  0.191
Np  0.373  0.373  0.880
Ni  0.937  0.440  0.685
Np  0.004  0.004  0.988

Properties
Energy of formation from the pure elements   -168 meV per atom
Crystal system   trigonal
SG   R3m (160)



Entry 14:
Computed, not measured: an optimized crystal structure of NpTcNiSn at the GGA-PBE level of DFT.

Lattice parameters (Å, degrees): 4.656 4.656 4.656 60.00 60.00 60.00
Positions (direct):
Sn  0.250  0.250  0.250
Tc  0.000  0.000  0.000
Np  0.750  0.750  0.750
Ni  0.500  0.500  0.500

Properties
Energy of formation from the pure elements   40 meV per atom
Crystal system   cubic
SG   F-43m (216)



Entry 15:
Computed, not measured: an optimized crystal structure of SrNpNi10 at the GGA-PBE level of DFT.

Lattice parameters (Å, degrees): 3.959 4.958 8.564 90.00 90.00 90.00
Positions (direct):
Ni  0.500  0.500  0.000
Sr  0.000  0.000  0.000
Ni  0.000  0.500  0.183
Ni  0.500  0.257  0.261
Ni  0.000  0.000  0.658
Ni  0.500  0.743  0.261
Ni  0.500  0.257  0.739
Ni  0.000  0.000  0.342
Np  0.000  0.500  0.500
Ni  0.500  0.743  0.739
Ni  0.500  0.000  0.500
Ni  0.000  0.500  0.817

Properties
Energy of formation from the pure elements   -83 meV per atom
Crystal system   orthorhombic
SG   Pmmm (47)



Entry 16:
Computed, not measured: an optimized crystal structure of NpTaNi4 at the GGA-PBE level of DFT.

Lattice parameters (Å, degrees): 4.909 4.909 4.909 60.00 60.00 60.00
Positions (direct):
Ta  0.000  0.000  0.000
Np  0.250  0.250  0.250
Ni  0.625  0.625  0.124
Ni  0.124  0.625  0.625
Ni  0.625  0.625  0.625
Ni  0.625  0.124  0.625

Properties
Energy of formation from the pure elements   -83 meV per atom
Crystal system   cubic
SG   F-43m (216)



Entry 17:
Computed, not measured: an optimized crystal structure of NpTaNi10 at the GGA-PBE level of DFT.

Lattice parameters (Å, degrees): 3.962 4.730 8.236 90.00 90.00 90.00
Positions (direct):
Ta  0.000  0.500  0.500
Ni  0.500  0.746  0.258
Np  0.000  0.000  0.000
Ni  0.500  0.746  0.742
Ni  0.500  0.254  0.258
Ni  0.000  0.500  0.176
Ni  0.500  0.254  0.742
Ni  0.000  0.000  0.341
Ni  0.500  0.000  0.500
Ni  0.500  0.500  0.000
Ni  0.000  0.500  0.824
Ni  0.000  0.000  0.659

Properties
Energy of formation from the pure elements   -83 meV per atom
Crystal system   orthorhombic
SG   Pmmm (47)



Entry 18:
Computed, not measured: an optimized crystal structure of Tb2Np2Ni15 at the GGA-PBE level of DFT.

Lattice parameters (Å, degrees): 6.433 6.433 6.433 81.85 81.85 81.85
Positions (direct):
Ni  0.000  0.500  0.000
Ni  0.000  0.684  0.316
Ni  0.342  0.839  0.342
Ni  0.342  0.342  0.839
Np  0.091  0.091  0.091
Ni  0.500  0.000  0.000
Ni  0.316  0.684  0.000
Tb  0.644  0.644  0.644
Ni  0.161  0.658  0.658
Tb  0.356  0.356  0.356
Ni  0.684  0.316  0.000
Ni  0.684  0.000  0.316
Ni  0.658  0.161  0.658
Ni  0.658  0.658  0.161
Ni  0.000  0.316  0.684
Ni  0.839  0.342  0.342
Ni  0.000  0.000  0.500
Ni  0.316  0.000  0.684
Np  0.909  0.909  0.909

Properties
Energy of formation from the pure elements   -218 meV per atom
Crystal system   trigonal
SG   R-3m (166)



Entry 19:
Computed, not measured: an optimized crystal structure of Tb2NpNi9 at the GGA-PBE level of DFT.

Lattice parameters (Å, degrees): 4.952 4.952 8.629 73.33 73.33 60.00
Positions (direct):
Ni  0.667  0.667  0.999
Np  0.000  0.000  0.000
Ni  0.418  0.919  0.245
Ni  0.582  0.582  0.755
Tb  0.861  0.861  0.416
Ni  0.500  0.500  0.500
Ni  0.418  0.418  0.245
Ni  0.333  0.333  0.001
Ni  0.081  0.582  0.755
Tb  0.139  0.139  0.584
Ni  0.919  0.418  0.245
Ni  0.582  0.081  0.755

Properties
Energy of formation from the pure elements   -292 meV per atom
Crystal system   trigonal
SG   R-3m (166)



Entry 20:
Computed, not measured: an optimized crystal structure of TbNpNi4 at the GGA-PBE level of DFT.

Lattice parameters (Å, degrees): 5.054 5.054 5.054 60.00 60.00 60.00
Positions (direct):
Ni  0.127  0.624  0.624
Tb  0.000  0.000  0.000
Ni  0.624  0.624  0.624
Np  0.250  0.250  0.250
Ni  0.624  0.127  0.624
Ni  0.624  0.624  0.127

Properties
Energy of formation from the pure elements   -217 meV per atom
Crystal system   cubic
SG   F-43m (216)